Compound: MnCr2Ru
Source: Alexandria
Functional: PBE-GGA
Structure: relaxed

Unit cell a=4.1449 b=4.1449 c=2.9746 alpha=90.00 beta=90.00 gamma=90.00
Closest atoms and distances in Å follow each position.
Positions (direct):
Cr 0.0000 0.0000 0.0000  4 Mn 2.55, 4 Ru 2.55
Cr 0.5000 0.5000 0.0000  4 Mn 2.55, 4 Ru 2.55
Mn 0.5000 0.0000 0.5000  8 Cr 2.55
Ru 0.0000 0.5000 0.5000  8 Cr 2.55

## Properties
density of states at the Fermi level = 6.45 states/eV/cell
density = 8.45 g/cm³
SG = P4/mmm
electronic total energy = -9.2640 eV per atom